Record 1
# ThCd11

A geometry-optimized ThCd11 structure (PBE, Alexandria via LeMat-Bulk).

Calculated values
Spin magnetization, μB per formula unit: 0.00
SG: Pm-3m, No. 221
Formation energy from the elements, eV per atom: -0.081
ΔE to the lowest computed polymorph, meV per atom: 0
Theoretical density, g cm⁻³: 8.80

a b c (Å): 9.4029 9.4029 9.4029
angles (deg): 90.00 90.00 90.00
Positions (direct):
1 Th 0.0000 0.0000 0.5000
2 Th 0.0000 0.5000 0.0000
3 Th 0.5000 0.0000 0.0000
4 Cd 0.0000 0.3447 0.3447
5 Cd 0.0000 0.3447 0.6553
6 Cd 0.0000 0.6553 0.3447
7 Cd 0.0000 0.6553 0.6553
8 Cd 0.1556 0.1556 0.1556
9 Cd 0.1556 0.1556 0.8444
10 Cd 0.1556 0.8444 0.1556
11 Cd 0.1556 0.8444 0.8444
12 Cd 0.2647 0.2647 0.5000
13 Cd 0.2647 0.5000 0.2647
14 Cd 0.2647 0.5000 0.7353
15 Cd 0.2647 0.7353 0.5000
16 Cd 0.3447 0.0000 0.3447
17 Cd 0.3447 0.0000 0.6553
18 Cd 0.3447 0.3447 0.0000
19 Cd 0.3447 0.6553 0.0000
20 Cd 0.5000 0.2647 0.2647
21 Cd 0.5000 0.2647 0.7353
22 Cd 0.5000 0.5000 0.5000
23 Cd 0.5000 0.7353 0.2647
24 Cd 0.5000 0.7353 0.7353
25 Cd 0.6553 0.0000 0.3447
26 Cd 0.6553 0.0000 0.6553
27 Cd 0.6553 0.3447 0.0000
28 Cd 0.6553 0.6553 0.0000
29 Cd 0.7353 0.2647 0.5000
30 Cd 0.7353 0.5000 0.2647
31 Cd 0.7353 0.5000 0.7353
32 Cd 0.7353 0.7353 0.5000
33 Cd 0.8444 0.1556 0.1556
34 Cd 0.8444 0.1556 0.8444
35 Cd 0.8444 0.8444 0.1556
36 Cd 0.8444 0.8444 0.8444

=====

Record 2
# Th3Cd4

A geometry-optimized Th3Cd4 structure (PBE, Alexandria via LeMat-Bulk).

Calculated values
Spin magnetization, μB per formula unit: 0.00
SG: I4/mmm, No. 139
Formation energy from the elements, eV per atom: -0.070
Theoretical density, g cm⁻³: 10.08

a b c (Å): 16.1472 16.1472 16.1472
angles (deg): 167.77 167.77 17.32
Positions (direct):
1 Th 0.0000 0.0000 0.0000
2 Th 0.2929 0.2929 0.0000
3 Th 0.7071 0.7071 0.0000
4 Cd 0.1309 0.1309 0.0000
5 Cd 0.4267 0.4267 0.0000
6 Cd 0.5733 0.5733 0.0000
7 Cd 0.8691 0.8691 0.0000

=====

Record 3
# Th3Cd11

A geometry-optimized Th3Cd11 structure (PBE, Alexandria via LeMat-Bulk).

Calculated values
Spin magnetization, μB per formula unit: 0.00
SG: Immm, No. 71
Formation energy from the elements, eV per atom: -0.128
Theoretical density, g cm⁻³: 9.31

a b c (Å): 8.9766 8.9766 8.9766
angles (deg): 148.25 112.80 76.24
Positions (direct):
1 Th 0.0000 0.0000 0.0000
2 Th 0.2865 0.2865 0.0000
3 Th 0.7135 0.7135 0.0000
4 Cd 0.0113 0.6496 0.3617
5 Cd 0.1383 0.8538 0.2845
6 Cd 0.2878 0.6496 0.6383
7 Cd 0.3323 0.5000 0.8323
8 Cd 0.4307 0.1462 0.2845
9 Cd 0.5000 0.0000 0.5000
10 Cd 0.5693 0.8538 0.7155
11 Cd 0.6677 0.5000 0.1677
12 Cd 0.7122 0.3504 0.3617
13 Cd 0.8618 0.1462 0.7155
14 Cd 0.9887 0.3504 0.6383

=====

Record 4
# ThCd2

A geometry-optimized ThCd2 structure (PBE, Alexandria via LeMat-Bulk).

Calculated values
Spin magnetization, μB per formula unit: 0.00
SG: I4/mmm, No. 139
Formation energy from the elements, eV per atom: -0.102
Theoretical density, g cm⁻³: 9.85

a b c (Å): 6.9762 6.9762 6.9762
angles (deg): 151.52 151.52 40.72
Positions (direct):
1 Th 0.0000 0.0000 0.0000
2 Cd 0.3196 0.3196 0.0000
3 Cd 0.6804 0.6804 0.0000

=====

Record 5
# ThCd3

A geometry-optimized ThCd3 structure (PBE, Alexandria via LeMat-Bulk).

Calculated values
Spin magnetization, μB per formula unit: 0.00
SG: Imm2, No. 44
Formation energy from the elements, eV per atom: 0.006
Theoretical density, g cm⁻³: 9.13

a b c (Å): 6.4446 6.4446 6.4446
angles (deg): 150.43 61.15 127.79
Positions (direct):
1 Th 0.0000 0.0000 0.0000
2 Cd 0.2722 0.5054 0.7669
3 Cd 0.4997 0.9997 0.5000
4 Cd 0.7385 0.5054 0.2331

=====

Record 6
# ThCd4

A geometry-optimized ThCd4 structure (PBE, Alexandria via LeMat-Bulk).

Calculated values
Spin magnetization, μB per formula unit: 0.00
SG: Imma, No. 74
Formation energy from the elements, eV per atom: -0.105
ΔE to the lowest computed polymorph, meV per atom: 0
Theoretical density, g cm⁻³: 9.04

a b c (Å): 8.6260 8.6260 8.6260
angles (deg): 146.91 133.88 57.93
Positions (direct):
1 Th 0.3598 0.1098 0.2500
2 Th 0.6402 0.8902 0.7500
3 Cd 0.0000 0.5000 0.5000
4 Cd 0.1406 0.8906 0.2500
5 Cd 0.1908 0.6983 0.4925
6 Cd 0.2941 0.3017 0.9925
7 Cd 0.5000 0.5000 0.0000
8 Cd 0.7059 0.6983 0.0075
9 Cd 0.8092 0.3017 0.5075
10 Cd 0.8594 0.1094 0.7500

=====

Record 7
# Th3Cd

A geometry-optimized Th3Cd structure (PBE, Alexandria via LeMat-Bulk).

Calculated values
Spin magnetization, μB per formula unit: 0.00
SG: Pmm2, No. 25
Formation energy from the elements, eV per atom: 0.009
ΔE to the lowest computed polymorph, meV per atom: 29
Theoretical density, g cm⁻³: 11.11

a b c (Å): 3.5660 5.8204 5.8203
angles (deg): 90.00 90.00 90.00
Positions (direct):
1 Th 0.0000 0.0000 0.0000
2 Th 0.0000 0.5000 0.4980
3 Th 0.5000 0.0000 0.5004
4 Cd 0.5000 0.5000 0.9976

=====

Record 8
# ThCd2

A geometry-optimized ThCd2 structure (PBE, Alexandria via LeMat-Bulk).

Calculated values
Spin magnetization, μB per formula unit: 0.00
SG: Fd-3m, No. 227
Formation energy from the elements, eV per atom: -0.132
Theoretical density, g cm⁻³: 9.97

a b c (Å): 5.9921 5.9921 5.9921
angles (deg): 60.00 60.00 60.00
Positions (direct):
1 Th 0.1250 0.1250 0.1250
2 Th 0.8750 0.8750 0.8750
3 Cd 0.0000 0.5000 0.5000
4 Cd 0.5000 0.0000 0.5000
5 Cd 0.5000 0.5000 0.0000
6 Cd 0.5000 0.5000 0.5000